Ga2GeCl8 GGA-PBE relaxed; volume = 370.0 Å³ per cell; uncorrected energy = -3.34 eV per atom; space group = C2/m
1.0
6.2623 -4.7756 0.0000
6.2623 4.7756 0.0000
-0.7692 0.0000 6.1865
Ga Ge Cl
2 1 8
direct
0.1979 0.1979 0.1517 Ga
0.8021 0.8021 0.8483 Ga
0.0000 0.0000 0.5000 Ge
0.0755 0.7139 0.7348 Cl
0.1822 0.1822 0.7911 Cl
0.2861 0.9245 0.2652 Cl
0.3650 0.3650 0.2759 Cl
0.6350 0.6350 0.7241 Cl
0.7139 0.0755 0.7348 Cl
0.8178 0.8178 0.2089 Cl
0.9245 0.2861 0.2652 Cl

Ga3Ge5Cl12 GGA-PBE relaxed; volume = 2421.3 Å³ per cell; uncorrected energy = -3.30 eV per atom; space group = Ia-3d
1.0
-8.4592 8.4592 8.4592
8.4592 -8.4592 8.4592
8.4592 8.4592 -8.4592
Ga Ge Cl
12 20 48
direct
0.1250 0.2500 0.3750 Ga
0.1250 0.3750 0.7500 Ga
0.2500 0.3750 0.1250 Ga
0.2500 0.8750 0.6250 Ga
0.3750 0.1250 0.2500 Ga
0.3750 0.7500 0.1250 Ga
0.6250 0.2500 0.8750 Ga
0.6250 0.8750 0.7500 Ga
0.7500 0.1250 0.3750 Ga
0.7500 0.6250 0.8750 Ga
0.8750 0.6250 0.2500 Ga
0.8750 0.7500 0.6250 Ga
0.0000 0.0000 0.0000 Ge
0.0000 0.0000 0.5000 Ge
0.0000 0.5000 0.0000 Ge
0.0000 0.5000 0.5000 Ge
0.1250 0.7500 0.8750 Ge
0.1250 0.8750 0.2500 Ge
0.2500 0.1250 0.8750 Ge
0.2500 0.6250 0.3750 Ge
0.3750 0.2500 0.6250 Ge
0.3750 0.6250 0.7500 Ge
0.5000 0.0000 0.0000 Ge
0.5000 0.0000 0.5000 Ge
0.5000 0.5000 0.0000 Ge
0.5000 0.5000 0.5000 Ge
0.6250 0.3750 0.2500 Ge
0.6250 0.7500 0.3750 Ge
0.7500 0.3750 0.6250 Ge
0.7500 0.8750 0.1250 Ge
0.8750 0.1250 0.7500 Ge
0.8750 0.2500 0.1250 Ge
0.0296 0.2049 0.1188 Cl
0.0296 0.3247 0.9108 Cl
0.0861 0.7049 0.6753 Cl
0.0861 0.8812 0.4108 Cl
0.0892 0.6188 0.4139 Cl
0.0892 0.9704 0.6753 Cl
0.1188 0.0296 0.2049 Cl
0.1188 0.5892 0.9139 Cl
0.1753 0.2049 0.5861 Cl
0.1753 0.4704 0.5892 Cl
0.2049 0.1188 0.0296 Cl
0.2049 0.5861 0.1753 Cl
0.2951 0.3247 0.9139 Cl
0.2951 0.4704 0.3812 Cl
0.3247 0.9108 0.0296 Cl
0.3247 0.9139 0.2951 Cl
0.3812 0.2951 0.4704 Cl
0.3812 0.5861 0.9108 Cl
0.4108 0.0861 0.8812 Cl
0.4108 0.8247 0.5296 Cl
0.4139 0.0892 0.6188 Cl
0.4139 0.8247 0.7951 Cl
0.4704 0.3812 0.2951 Cl
0.4704 0.5892 0.1753 Cl
0.5296 0.4108 0.8247 Cl
0.5296 0.6188 0.7049 Cl
0.5861 0.1753 0.2049 Cl
0.5861 0.9108 0.3812 Cl
0.5892 0.1753 0.4704 Cl
0.5892 0.9139 0.1188 Cl
0.6188 0.4139 0.0892 Cl
0.6188 0.7049 0.5296 Cl
0.6753 0.0861 0.7049 Cl
0.6753 0.0892 0.9704 Cl
0.7049 0.5296 0.6188 Cl
0.7049 0.6753 0.0861 Cl
0.7951 0.4139 0.8247 Cl
0.7951 0.8812 0.9704 Cl
0.8247 0.5296 0.4108 Cl
0.8247 0.7951 0.4139 Cl
0.8812 0.4108 0.0861 Cl
0.8812 0.9704 0.7951 Cl
0.9108 0.0296 0.3247 Cl
0.9108 0.3812 0.5861 Cl
0.9139 0.1188 0.5892 Cl
0.9139 0.2951 0.3247 Cl
0.9704 0.6753 0.0892 Cl
0.9704 0.7951 0.8812 Cl

GaGeCl2 GGA-PBE relaxed; volume = 88.0 Å³ per cell; uncorrected energy = -3.01 eV per atom; space group = Fm-3m
1.0
0.0000 3.5309 3.5309
3.5309 0.0000 3.5309
3.5309 3.5309 0.0000
Ga Ge Cl
1 1 2
direct
0.0000 0.0000 0.0000 Ga
0.5000 0.5000 0.5000 Ge
0.2500 0.2500 0.2500 Cl
0.7500 0.7500 0.7500 Cl

Ga2Ge2Cl GGA-PBE relaxed; volume = 106.6 Å³ per cell; uncorrected energy = -3.45 eV per atom; space group = I4/mmm
1.0
-2.2846 2.2846 5.1038
2.2846 -2.2846 5.1038
2.2846 2.2846 -5.1038
Ga Ge Cl
2 2 1
direct
0.2500 0.7500 0.5000 Ga
0.7500 0.2500 0.5000 Ga
0.1215 0.1215 0.0000 Ge
0.8785 0.8785 0.0000 Ge
0.5000 0.5000 0.0000 Cl

GaGeCl GGA-PBE relaxed; volume = 336.8 Å³ per cell; uncorrected energy = -3.47 eV per atom; space group = P2_1/c
1.0
9.9557 0.0000 0.0000
0.0000 3.2816 0.0000
-3.8176 0.0000 10.3098
Ga Ge Cl
4 4 4
direct
0.1765 0.2234 0.2966 Ga
0.1765 0.2766 0.7966 Ga
0.8235 0.7234 0.2034 Ga
0.8235 0.7766 0.7034 Ga
0.0320 0.7300 0.9180 Ge
0.0320 0.7700 0.4180 Ge
0.9680 0.2300 0.5820 Ge
0.9680 0.2700 0.0820 Ge
0.3617 0.7199 0.3265 Cl
0.3617 0.7801 0.8265 Cl
0.6383 0.2199 0.1735 Cl
0.6383 0.2801 0.6735 Cl

GaGeCl2 GGA-PBE relaxed; volume = 209.0 Å³ per cell; uncorrected energy = -3.02 eV per atom; space group = I-42d
1.0
-2.4455 2.4455 8.7361
2.4455 -2.4455 8.7361
2.4455 2.4455 -8.7361
Ga Ge Cl
2 2 4
direct
0.0000 0.0000 0.0000 Ga
0.7500 0.2500 0.5000 Ga
0.2500 0.7500 0.5000 Ge
0.5000 0.5000 0.0000 Ge
0.1455 0.6250 0.0205 Cl
0.3750 0.3955 0.5205 Cl
0.6045 0.1250 0.9795 Cl
0.8750 0.8545 0.4795 Cl

Ga2HgGeCl8 GGA-PBE relaxed; volume = 418.2 Å³ per cell; uncorrected energy = -3.06 eV per atom; space group = C2/m
1.0
5.4005 -3.6382 0.0000
5.4005 3.6382 0.0000
-2.8641 0.0000 10.6424
Ga Hg Ge Cl
2 1 1 8
direct
0.1916 0.1916 0.1880 Ga
0.8084 0.8084 0.8120 Ga
0.0000 0.0000 0.5000 Hg
0.5000 0.5000 0.0000 Ge
0.1808 0.6918 0.8151 Cl
0.2498 0.2498 0.0072 Cl
0.3082 0.8192 0.1849 Cl
0.3483 0.3483 0.3525 Cl
0.6517 0.6517 0.6475 Cl
0.6918 0.1808 0.8151 Cl
0.7502 0.7502 0.9928 Cl
0.8192 0.3082 0.1849 Cl

GaHgGeCl6 GGA-PBE relaxed; volume = 319.6 Å³ per cell; uncorrected energy = -2.84 eV per atom; space group = P312
1.0
6.2785 0.0000 0.0000
-3.1393 5.4373 0.0000
0.0000 0.0000 9.3628
Ga Hg Ge Cl
1 1 1 6
direct
0.0000 0.0000 0.0000 Ga
0.3333 0.6667 0.5000 Hg
0.6667 0.3333 0.0000 Ge
0.3205 0.0213 0.1499 Cl
0.3205 0.2993 0.8501 Cl
0.7007 0.0213 0.8501 Cl
0.7007 0.6795 0.1499 Cl
0.9787 0.2993 0.1499 Cl
0.9787 0.6795 0.8501 Cl

GaGeI2Cl GGA-PBE relaxed; volume = 159.9 Å³ per cell; uncorrected energy = -2.50 eV per atom; space group = P4/mmm
1.0
5.7598 0.0000 0.0000
0.0000 5.7598 0.0000
0.0000 0.0000 4.8195
Ga Ge I Cl
1 1 2 1
direct
0.0000 0.0000 0.0000 Ga
0.5000 0.5000 0.5000 Ge
0.0000 0.5000 0.0000 I
0.5000 0.0000 0.0000 I
0.0000 0.0000 0.5000 Cl

Ga2GeIrCl GGA-PBE relaxed; volume = 112.1 Å³ per cell; uncorrected energy = -4.76 eV per atom; space group = P4/mmm
1.0
4.8877 0.0000 0.0000
0.0000 4.8877 0.0000
0.0000 0.0000 4.6924
Ga Ge Ir Cl
2 1 1 1
direct
0.0000 0.5000 0.0000 Ga
0.5000 0.0000 0.0000 Ga
0.0000 0.0000 0.5000 Ge
0.0000 0.0000 0.0000 Ir
0.5000 0.5000 0.5000 Cl

GaGeIrCl2 GGA-PBE relaxed; volume = 116.7 Å³ per cell; uncorrected energy = -3.20 eV per atom; space group = P4/mmm
1.0
4.6258 0.0000 0.0000
0.0000 4.6258 0.0000
0.0000 0.0000 5.4518
Ga Ge Ir Cl
1 1 1 2
direct
0.0000 0.0000 0.0000 Ga
0.0000 0.0000 0.5000 Ge
0.5000 0.5000 0.5000 Ir
0.0000 0.5000 0.0000 Cl
0.5000 0.0000 0.0000 Cl

KGa2GeCl8 GGA-PBE relaxed; volume = 407.7 Å³ per cell; uncorrected energy = -3.29 eV per atom; space group = P-3
1.0
7.4332 0.0000 0.0000
-3.7166 6.4373 0.0000
0.0000 0.0000 8.5202
K Ga Ge Cl
1 2 1 8
direct
0.0000 0.0000 0.0000 K
0.3333 0.6667 0.7873 Ga
0.6667 0.3333 0.2127 Ga
0.0000 0.0000 0.5000 Ge
0.1637 0.3310 0.6972 Cl
0.1673 0.8363 0.6972 Cl
0.3310 0.1673 0.3028 Cl
0.3333 0.6667 0.0456 Cl
0.6667 0.3333 0.9544 Cl
0.6690 0.8327 0.6972 Cl
0.8327 0.1637 0.3028 Cl
0.8363 0.6690 0.3028 Cl

La6Ga2GeCl3 GGA-PBE relaxed; volume = 347.1 Å³ per cell; uncorrected energy = -4.97 eV per atom; space group = C2/m
1.0
3.8329 -6.6566 0.0000
3.8329 6.6566 0.0000
-2.5576 0.0000 6.8024
La Ga Ge Cl
6 2 1 3
direct
0.0810 0.4115 0.2436 La
0.2513 0.2513 0.7587 La
0.4115 0.0810 0.2436 La
0.5885 0.9190 0.7564 La
0.7487 0.7487 0.2413 La
0.9190 0.5885 0.7564 La
0.3325 0.6675 0.0000 Ga
0.6675 0.3325 0.0000 Ga
0.0000 0.0000 0.0000 Ge
0.1658 0.8342 0.5000 Cl
0.5000 0.5000 0.5000 Cl
0.8342 0.1658 0.5000 Cl

Nd4GaGeCl2 GGA-PBE relaxed; volume = 218.5 Å³ per cell; uncorrected energy = -4.93 eV per atom; space group = P2/m
1.0
7.2533 0.0000 0.0000
0.0000 4.2796 0.0000
-2.5784 0.0000 7.0374
Nd Ga Ge Cl
4 1 1 2
direct
0.2328 0.0000 0.2451 Nd
0.2360 0.5000 0.7475 Nd
0.7640 0.5000 0.2525 Nd
0.7672 0.0000 0.7549 Nd
0.0000 0.0000 0.5000 Ga
0.0000 0.5000 0.0000 Ge
0.5000 0.0000 0.0000 Cl
0.5000 0.5000 0.5000 Cl

GaGeP2Cl GGA-PBE relaxed; volume = 119.0 Å³ per cell; uncorrected energy = -3.56 eV per atom; space group = P4/mmm
1.0
4.7162 0.0000 0.0000
0.0000 4.7162 0.0000
0.0000 0.0000 5.3494
Ga Ge P Cl
1 1 2 1
direct
0.0000 0.0000 0.0000 Ga
0.5000 0.5000 0.5000 Ge
0.0000 0.5000 0.5000 P
0.5000 0.0000 0.5000 P
0.5000 0.5000 0.0000 Cl

Pm4GaGeCl2 GGA-PBE relaxed; volume = 213.4 Å³ per cell; uncorrected energy = -4.92 eV per atom; space group = P2/m
1.0
7.1998 0.0000 0.0000
0.0000 4.2441 0.0000
-2.5602 0.0000 6.9847
Pm Ga Ge Cl
4 1 1 2
direct
0.2319 0.0000 0.2452 Pm
0.2350 0.5000 0.7472 Pm
0.7650 0.5000 0.2528 Pm
0.7681 0.0000 0.7548 Pm
0.0000 0.0000 0.5000 Ga
0.0000 0.5000 0.0000 Ge
0.5000 0.0000 0.0000 Cl
0.5000 0.5000 0.5000 Cl

RbGa2GeCl8 GGA-PBE relaxed; volume = 425.6 Å³ per cell; uncorrected energy = -3.29 eV per atom; space group = P-3
1.0
7.4389 0.0000 0.0000
-3.7195 6.4423 0.0000
0.0000 0.0000 8.8812
Rb Ga Ge Cl
1 2 1 8
direct
0.0000 0.0000 0.0000 Rb
0.3333 0.6667 0.7744 Ga
0.6667 0.3333 0.2256 Ga
0.0000 0.0000 0.5000 Ge
0.1603 0.3317 0.6883 Cl
0.1715 0.8397 0.6883 Cl
0.3317 0.1715 0.3117 Cl
0.3333 0.6667 0.0230 Cl
0.6667 0.3333 0.9770 Cl
0.6683 0.8285 0.6883 Cl
0.8285 0.1603 0.3117 Cl
0.8397 0.6683 0.3117 Cl